Below is crystalline Mn4ZnNi at its relaxed geometry, with properties calculated at the PBE level.

Structure (CIF):
```
data_Mn4ZnNi
_cell_length_a 4.659
_cell_length_b 4.659
_cell_length_c 4.659
_cell_angle_alpha 60.00
_cell_angle_beta 60.00
_cell_angle_gamma 60.00
_symmetry_space_group_name_H-M 'P 1'
_symmetry_Int_Tables_number 1
loop_
_symmetry_equiv_pos_as_xyz
'x,y,z'
loop_
_atom_site_label
_atom_site_fract_x
_atom_site_fract_y
_atom_site_fract_z
Zn1 0.000 0.000 0.000
Mn1 0.375 0.375 0.375
Mn2 0.875 0.375 0.375
Ni1 0.750 0.750 0.750
Mn3 0.375 0.375 0.875
Mn4 0.375 0.875 0.375
```

Summary:
DOS at the Fermi energy: 8.7 states/eV per cell
formation energy from the elements: 0.2907 eV per atom
space group: No. 216
V: 72 Å³/f.u.
ρ: 8.0 Mg/m³